DFT (GGA-PBE) results for La2CoSi4Ni after structural relaxation.

## Properties
Crystal system ... orthorhombic
Uncorrected energy ... -50.5 eV for the cell shown
Space group ... Amm2, No. 38

Cell: 4.1073 8.5394 8.5394 Å, 28.64 90.00 90.00°
Fractional positions:
1 Co 0.5000 0.8178 0.8178
2 Si 0.0000 0.0409 0.0409
3 Si 0.0000 0.7515 0.7515
4 Si 0.5000 0.9567 0.9567
5 Si 0.5000 0.2514 0.2514
6 La 0.0000 0.3926 0.3926
7 La 0.5000 0.6079 0.6079
8 Ni 0.0000 0.1813 0.1813